# MgAs3Au, relaxed, DFT GGA-PBE
data_MgAs3Au
_chemical_formula_sum 'Mg1 As3 Au1'
_symmetry_space_group_name_H-M 'P 1'
_symmetry_Int_Tables_number 1
_symmetry_space_group_name_Hall 'P 1'
_cell_length_a 5.071
_cell_length_b 5.071
_cell_length_c 5.071
_cell_angle_alpha 90.00
_cell_angle_beta 90.00
_cell_angle_gamma 90.00
loop_
_atom_site_label
_atom_site_fract_x
_atom_site_fract_y
_atom_site_fract_z
Mg1 0.000 0.000 0.000
As1 0.000 0.500 0.500
As2 0.500 0.000 0.500
As3 0.500 0.500 0.000
Au1 0.500 0.500 0.500
# Final energy: -3.106 eV/atom
# DFT formation energy: 0.658 eV per atom
# DOS(E_F): 4.9 states/eV per cell
# Space group: Pm-3m (221)